TaSbSeCl2 at its PBEsol-relaxed geometry. Source: Alexandria via LeMat-Bulk, functional meta-GGA SCAN.

Properties
The calculated volume comes out at 119.8 Å³/cell. The uncorrected formation energy is -248 meV per atom.

Cell: 4.558 4.558 5.766 Å, 90.00 90.00 90.00°
Element x y z (fractional)
Sb1 0.000 0.000 0.500
Cl1 0.000 0.500 0.000
Cl2 0.500 0.000 0.000
Se1 0.500 0.500 0.500
Ta1 0.000 0.000 0.000